Entry 1:
The following is a GGA-PBE calculation of an optimized crystal structure of NaAlCd, from OQMD via LeMat-Bulk.

Properties
SG: No. 216

```
12
Lattice="6.788 0.000 0.000 0.000 6.788 0.000 0.000 0.000 6.788" Properties=species:S:1:pos:R:3 pbc="T T T"
Na 0.000 0.000 0.000
Na 0.000 3.394 3.394
Na 3.394 0.000 3.394
Na 3.394 3.394 0.000
Al 1.697 1.697 5.091
Al 1.697 5.091 1.697
Al 5.091 1.697 1.697
Al 5.091 5.091 5.091
Cd 1.697 1.697 1.697
Cd 1.697 5.091 5.091
Cd 5.091 1.697 5.091
Cd 5.091 5.091 1.697
```



Entry 2:
The following is a GGA-PBE calculation of an optimized crystal structure of Na4AlCd2Pb, from OQMD via LeMat-Bulk.

Properties
SG: No. 115

```
8
Lattice="5.137 0.000 0.000 0.000 5.137 0.000 0.000 0.000 7.326" Properties=species:S:1:pos:R:3 pbc="T T T"
Na 0.000 0.000 0.000
Na 0.000 2.569 1.789
Na 2.569 0.000 5.537
Na 2.569 2.569 3.663
Al 2.569 2.569 0.000
Cd 0.000 2.569 5.626
Cd 2.569 0.000 1.700
Pb 0.000 0.000 3.663
```



Entry 3:
The following is a GGA-PBE calculation of an optimized crystal structure of Na4AlCdPt2, from OQMD via LeMat-Bulk.

Properties
SG: No. 115

```
8
Lattice="4.703 0.000 0.000 0.000 4.703 0.000 0.000 0.000 6.857" Properties=species:S:1:pos:R:3 pbc="T T T"
Na 0.000 0.000 0.000
Na 0.000 2.351 5.123
Na 2.351 0.000 1.733
Na 2.351 2.351 3.428
Al 0.000 0.000 3.428
Cd 2.351 2.351 0.000
Pt 0.000 2.351 1.944
Pt 2.351 0.000 4.912
```



Entry 4:
The following is a GGA-PBE calculation of an optimized crystal structure of Na4AlCd2Sn, from OQMD via LeMat-Bulk.

Properties
SG: No. 115

```
8
Lattice="5.047 0.000 0.000 0.000 5.047 0.000 0.000 0.000 7.199" Properties=species:S:1:pos:R:3 pbc="T T T"
Na 0.000 0.000 0.000
Na 0.000 2.523 5.362
Na 2.523 0.000 1.837
Na 2.523 2.523 3.600
Al 0.000 0.000 3.600
Cd 0.000 2.523 1.904
Cd 2.523 0.000 5.295
Sn 2.523 2.523 0.000
```



| no. | uncorrected energy (eV per atom) | density (Mg/m³) |
| --- | --- | --- |
| 1 | -1.520 | 3.4 |
| 2 | -1.884 | 4.7 |
| 3 | -2.963 | 6.8 |
| 4 | -1.934 | 4.2 |